DFT (PBE) results for a geometry-optimized ReMoRu2 structure.

Cell lengths 2.7488, 2.7488, 7.8000 Å; angles 90.00, 90.00, 90.00 degrees
With the nearest neighbours (Å) after each atom.
Space group P4mm (No. 99)
Inequivalent atoms, fractional coordinates:
Re 0.0000 0.0000 0.0000  4 Ru 2.68, 4 Re 2.75, 4 Mo 2.86
Mo 0.5000 0.5000 0.7315  4 Ru 2.73, 4 Mo 2.75, 4 Re 2.86
Ru 0.0000 0.0000 0.4862  4 Mo 2.73, 8 Ru 2.75-2.76
Ru 0.5000 0.5000 0.2357  4 Re 2.68, 8 Ru 2.75-2.76

calculated formation energy = 0.09 eV/atom
spin magnetization = 0.000 μB per formula unit